Record 1
The following is a PBE+U calculation of a relaxed structure of Li2AlNi3O6, from Alexandria.

```
data_Li2AlNi3O6
_chemical_formula_sum 'Li4 Al2 Ni6 O12'
_cell_length_a 5.060
_cell_length_b 8.716
_cell_length_c 5.067
_cell_angle_alpha 90.00
_cell_angle_beta 109.51
_cell_angle_gamma 90.00
_symmetry_space_group_name_H-M 'C 1 2 1'
_symmetry_Int_Tables_number 5
loop_
_symmetry_equiv_pos_as_xyz
'x,y,z'
'-x,y,-z'
'x+1/2,y+1/2,z'
'-x+1/2,y+1/2,-z'
loop_
_atom_site_label
_atom_site_type_symbol
_atom_site_fract_x
_atom_site_fract_y
_atom_site_fract_z
Li1 Li 0.000 0.000 0.000
Li2 Li 0.000 0.329 0.000
Al1 Al 0.000 0.831 0.500
Ni1 Ni 0.000 0.162 0.500
Ni2 Ni 0.000 0.494 0.500
Ni3 Ni 0.000 0.660 0.000
O1 O 0.229 0.671 0.736
O2 O 0.234 0.825 0.273
O3 O 0.239 0.990 0.732
```

***

Record 2
The following is a PBE+U calculation of a relaxed structure of Li2AlNiO, from Alexandria.

```
data_Li2AlNiO
_chemical_formula_sum 'Li2 Al1 Ni1 O1'
_cell_length_a 3.858
_cell_length_b 3.858
_cell_length_c 3.930
_cell_angle_alpha 90.00
_cell_angle_beta 90.00
_cell_angle_gamma 90.00
_symmetry_space_group_name_H-M 'P 4/m m m'
_symmetry_Int_Tables_number 123
_symmetry_space_group_name_Hall '-P 4 2'
loop_
_atom_site_label
_atom_site_type_symbol
_atom_site_fract_x
_atom_site_fract_y
_atom_site_fract_z
Li1 Li 0.000 0.500 0.000
Al1 Al 0.000 0.000 0.500
Ni1 Ni 0.500 0.500 0.500
O1 O 0.000 0.000 0.000
```

***

Record 3
The following is a PBE+U calculation of a relaxed structure of LiAlNi3O5, from Alexandria.

```
data_LiAlNi3O5
_chemical_formula_sum 'Li4 Al4 Ni12 O20'
_cell_length_a 5.074
_cell_length_b 14.602
_cell_length_c 5.158
_cell_angle_alpha 90.00
_cell_angle_beta 110.42
_cell_angle_gamma 90.00
_symmetry_space_group_name_H-M 'C 1 2/m 1'
_symmetry_Int_Tables_number 12
loop_
_symmetry_equiv_pos_as_xyz
'x,y,z'
'-x,-y,-z'
'-x,y,-z'
'x,-y,z'
'x+1/2,y+1/2,z'
'-x+1/2,-y+1/2,-z'
'-x+1/2,y+1/2,-z'
'x+1/2,-y+1/2,z'
loop_
_atom_site_label
_atom_site_type_symbol
_atom_site_fract_x
_atom_site_fract_y
_atom_site_fract_z
Li1 Li 0.000 0.200 0.000
Al1 Al 0.000 0.299 0.500
Ni1 Ni 0.000 0.000 0.000
Ni2 Ni 0.000 0.102 0.500
Ni3 Ni 0.000 0.395 0.000
Ni4 Ni 0.000 0.500 0.500
O1 O 0.234 0.395 0.739
O2 O 0.239 0.295 0.282
O3 O 0.247 0.000 0.757
```

***

E for the records above, in order: -130.42; -18.86; -220.97 eV for the cell shown